Density functional theory data (GGA-PBE) for a relaxed LiMgMn2 crystal.

Values from the calculation:
The formation energy comes out at 0.174 eV/atom.

Structure (CIF):
```
data_LiMgMn2
_chemical_formula_sum 'Li1 Mg1 Mn2'
_cell_length_a 3.0255
_cell_length_b 3.0255
_cell_length_c 6.7058
_cell_angle_alpha 90.00
_cell_angle_beta 90.00
_cell_angle_gamma 90.00
_space_group_name_H-M_alt 'P 1'
_space_group_IT_number 1
loop_
_space_group_symop_operation_xyz
'x,y,z'
loop_
_atom_site_label
_atom_site_fract_x
_atom_site_fract_y
_atom_site_fract_z
_atom_site_occupancy
Li1 0.0000 0.0000 0.0000 1
Mg1 0.5000 0.5000 0.2989 1
Mn1 0.0000 0.0000 0.5784 1
Mn2 0.5000 0.5000 0.7379 1
```


Density functional theory data (GGA-PBE) for a relaxed Pu2GaSi2Rh5 crystal.

Values from the calculation:
The calculation puts the formation energy without anion corrections at -689.1 meV per atom.

Structure (CIF):
```
data_Pu2GaSi2Rh5
_chemical_formula_sum 'Pu4 Ga2 Si4 Rh10'
_cell_length_a 10.4567
_cell_length_b 10.4567
_cell_length_c 2.9734
_cell_angle_alpha 90.00
_cell_angle_beta 90.00
_cell_angle_gamma 90.00
_space_group_name_H-M_alt 'P 1'
_space_group_IT_number 1
loop_
_space_group_symop_operation_xyz
'x,y,z'
loop_
_atom_site_label
_atom_site_fract_x
_atom_site_fract_y
_atom_site_fract_z
_atom_site_occupancy
Pu1 0.1776 0.3224 0.0000 1
Pu2 0.3224 0.8224 0.0000 1
Pu3 0.6776 0.1776 0.0000 1
Pu4 0.8224 0.6776 0.0000 1
Ga1 0.0000 0.0000 0.0000 1
Ga2 0.5000 0.5000 0.0000 1
Si1 0.1301 0.6301 0.0000 1
Si2 0.3699 0.1301 0.0000 1
Si3 0.6301 0.8699 0.0000 1
Si4 0.8699 0.3699 0.0000 1
Rh1 0.0000 0.5000 0.5000 1
Rh2 0.0530 0.7973 0.5000 1
Rh3 0.2027 0.0530 0.5000 1
Rh4 0.2973 0.5530 0.5000 1
Rh5 0.4470 0.2973 0.5000 1
Rh6 0.5000 0.0000 0.5000 1
Rh7 0.5530 0.7027 0.5000 1
Rh8 0.7027 0.4470 0.5000 1
Rh9 0.7973 0.9470 0.5000 1
Rh10 0.9470 0.2027 0.5000 1
```


Density functional theory data (GGA-PBE) for a relaxed Er3Ga2Ge3 crystal.

Values from the calculation:
The formation energy comes out at -0.710 eV/atom.

Structure (CIF):
```
data_Er3Ga2Ge3
_chemical_formula_sum 'Er6 Ga4 Ge6'
_cell_length_a 5.9663
_cell_length_b 5.9663
_cell_length_c 9.4473
_cell_angle_alpha 90.00
_cell_angle_beta 90.00
_cell_angle_gamma 77.19
_space_group_name_H-M_alt 'P 1'
_space_group_IT_number 1
loop_
_space_group_symop_operation_xyz
'x,y,z'
loop_
_atom_site_label
_atom_site_fract_x
_atom_site_fract_y
_atom_site_fract_z
_atom_site_occupancy
Er1 0.1553 0.8447 0.7500 1
Er2 0.3018 0.3018 0.0000 1
Er3 0.3018 0.3018 0.5000 1
Er4 0.6982 0.6982 0.0000 1
Er5 0.6982 0.6982 0.5000 1
Er6 0.8447 0.1553 0.2500 1
Ga1 0.1776 0.8224 0.0498 1
Ga2 0.1776 0.8224 0.4502 1
Ga3 0.8224 0.1776 0.5498 1
Ga4 0.8224 0.1776 0.9502 1
Ge1 0.0028 0.5925 0.2500 1
Ge2 0.4075 0.9972 0.2500 1
Ge3 0.4570 0.5430 0.2500 1
Ge4 0.5430 0.4570 0.7500 1
Ge5 0.5925 0.0028 0.7500 1
Ge6 0.9972 0.4075 0.7500 1
```


Density functional theory data (GGA-PBE) for a relaxed Li2PmAg crystal.

Values from the calculation:
The formation energy comes out at -0.036 eV/atom.

Structure (CIF):
```
data_Li2PmAg
_chemical_formula_sum 'Li2 Pm1 Ag1'
_cell_length_a 3.3745
_cell_length_b 3.3745
_cell_length_c 7.4563
_cell_angle_alpha 90.00
_cell_angle_beta 90.00
_cell_angle_gamma 90.00
_space_group_name_H-M_alt 'P 1'
_space_group_IT_number 1
loop_
_space_group_symop_operation_xyz
'x,y,z'
loop_
_atom_site_label
_atom_site_fract_x
_atom_site_fract_y
_atom_site_fract_z
_atom_site_occupancy
Li1 0.0000 0.0000 0.1840 1
Li2 0.0000 0.0000 0.8160 1
Pm1 0.5000 0.5000 0.5000 1
Ag1 0.5000 0.5000 0.0000 1
```


Density functional theory data (GGA-PBE) for a relaxed Ac2NdHgSe5 crystal.

Values from the calculation:
The calculation puts the formation energy without anion corrections at -1575.8 meV per atom.

Structure (CIF):
```
data_Ac2NdHgSe5
_chemical_formula_sum 'Ac4 Nd2 Hg2 Se10'
_cell_length_a 9.3598
_cell_length_b 9.3598
_cell_length_c 13.1412
_cell_angle_alpha 90.00
_cell_angle_beta 90.00
_cell_angle_gamma 153.25
_space_group_name_H-M_alt 'P 1'
_space_group_IT_number 1
loop_
_space_group_symop_operation_xyz
'x,y,z'
loop_
_atom_site_label
_atom_site_fract_x
_atom_site_fract_y
_atom_site_fract_z
_atom_site_occupancy
Ac1 0.1217 0.8783 0.5000 1
Ac2 0.1286 0.8714 0.1216 1
Ac3 0.8714 0.1286 0.6216 1
Ac4 0.8783 0.1217 0.0000 1
Nd1 0.1926 0.8074 0.8183 1
Nd2 0.8074 0.1926 0.3183 1
Hg1 0.4539 0.5461 0.2824 1
Hg2 0.5461 0.4539 0.7824 1
Se1 0.0397 0.9603 0.9051 1
Se2 0.2947 0.7053 0.4769 1
Se3 0.3037 0.6963 0.1563 1
Se4 0.3556 0.6444 0.8149 1
Se5 0.4995 0.5005 0.0900 1
Se6 0.5005 0.4995 0.5900 1
Se7 0.6444 0.3556 0.3149 1
Se8 0.6963 0.3037 0.6563 1
Se9 0.7053 0.2947 0.9769 1
Se10 0.9603 0.0397 0.4051 1
```


Density functional theory data (GGA-PBE) for a relaxed NaReGeO6 crystal.

Values from the calculation:
The calculation puts the formation energy without anion corrections at -1511.7 meV per atom.

Structure (CIF):
```
data_NaReGeO6
_chemical_formula_sum 'Na2 Re2 Ge2 O12'
_cell_length_a 4.7598
_cell_length_b 4.7598
_cell_length_c 9.0289
_cell_angle_alpha 90.00
_cell_angle_beta 90.00
_cell_angle_gamma 90.00
_space_group_name_H-M_alt 'P 1'
_space_group_IT_number 1
loop_
_space_group_symop_operation_xyz
'x,y,z'
loop_
_atom_site_label
_atom_site_fract_x
_atom_site_fract_y
_atom_site_fract_z
_atom_site_occupancy
Na1 0.0000 0.0000 0.0000 1
Na2 0.5000 0.5000 0.5000 1
Re1 0.0000 0.0000 0.6692 1
Re2 0.5000 0.5000 0.1692 1
Ge1 0.0000 0.0000 0.3298 1
Ge2 0.5000 0.5000 0.8298 1
O1 0.1725 0.1725 0.4982 1
O2 0.2181 0.2181 0.7984 1
O3 0.2194 0.2194 0.1891 1
O4 0.2806 0.7194 0.6891 1
O5 0.2819 0.7181 0.2984 1
O6 0.3275 0.6725 0.9982 1
O7 0.6725 0.3275 0.9982 1
O8 0.7181 0.2819 0.2984 1
O9 0.7194 0.2806 0.6891 1
O10 0.7806 0.7806 0.1891 1
O11 0.7819 0.7819 0.7984 1
O12 0.8275 0.8275 0.4982 1
```


Density functional theory data (GGA-PBE) for a relaxed Ba2NaCa6 crystal.

Values from the calculation:
The formation energy comes out at 0.102 eV/atom.

Structure (CIF):
```
data_Ba2NaCa6
_chemical_formula_sum 'Ba2 Na1 Ca6'
_cell_length_a 8.1805
_cell_length_b 8.1805
_cell_length_c 7.4033
_cell_angle_alpha 90.00
_cell_angle_beta 90.00
_cell_angle_gamma 120.00
_space_group_name_H-M_alt 'P 1'
_space_group_IT_number 1
loop_
_space_group_symop_operation_xyz
'x,y,z'
loop_
_atom_site_label
_atom_site_fract_x
_atom_site_fract_y
_atom_site_fract_z
_atom_site_occupancy
Ba1 0.3333 0.6667 0.1862 1
Ba2 0.6667 0.3333 0.8138 1
Na1 0.0000 0.0000 0.0000 1
Ca1 0.1760 0.3519 0.6904 1
Ca2 0.1760 0.8240 0.6904 1
Ca3 0.3519 0.1760 0.3096 1
Ca4 0.6481 0.8240 0.6904 1
Ca5 0.8240 0.1760 0.3096 1
Ca6 0.8240 0.6481 0.3096 1
```


Density functional theory data (GGA-PBE) for a relaxed ScSeS crystal.

Values from the calculation:
The calculation puts the formation energy without anion corrections at -1475.8 meV per atom.

Structure (CIF):
```
data_ScSeS
_chemical_formula_sum 'Sc4 Se4 S4'
_cell_length_a 14.0495
_cell_length_b 3.8238
_cell_length_c 5.1556
_cell_angle_alpha 90.00
_cell_angle_beta 97.98
_cell_angle_gamma 90.00
_space_group_name_H-M_alt 'P 1'
_space_group_IT_number 1
loop_
_space_group_symop_operation_xyz
'x,y,z'
loop_
_atom_site_label
_atom_site_fract_x
_atom_site_fract_y
_atom_site_fract_z
_atom_site_occupancy
Sc1 0.1781 0.0000 0.2232 1
Sc2 0.3219 0.5000 0.7768 1
Sc3 0.6781 0.5000 0.2232 1
Sc4 0.8219 0.0000 0.7768 1
Se1 0.0369 0.5000 0.2248 1
Se2 0.4631 0.0000 0.7752 1
Se3 0.5369 0.0000 0.2248 1
Se4 0.9631 0.5000 0.7752 1
S1 0.1945 0.0000 0.7296 1
S2 0.3055 0.5000 0.2704 1
S3 0.6945 0.5000 0.7296 1
S4 0.8055 0.0000 0.2704 1
```


Density functional theory data (GGA-PBE) for a relaxed Pd3RhBr crystal.

Values from the calculation:
The calculation puts the formation energy without anion corrections at 941.7 meV per atom.

Structure (CIF):
```
data_Pd3RhBr
_chemical_formula_sum 'Pd3 Rh1 Br1'
_cell_length_a 4.6706
_cell_length_b 4.6706
_cell_length_c 4.6706
_cell_angle_alpha 90.00
_cell_angle_beta 90.00
_cell_angle_gamma 90.00
_space_group_name_H-M_alt 'P 1'
_space_group_IT_number 1
loop_
_space_group_symop_operation_xyz
'x,y,z'
loop_
_atom_site_label
_atom_site_fract_x
_atom_site_fract_y
_atom_site_fract_z
_atom_site_occupancy
Pd1 0.0000 0.0000 0.5000 1
Pd2 0.0000 0.5000 0.0000 1
Pd3 0.5000 0.0000 0.0000 1
Rh1 0.5000 0.5000 0.5000 1
Br1 0.0000 0.0000 0.0000 1
```


Density functional theory data (GGA-PBE) for a relaxed Mg6ZnRh5 crystal.

Values from the calculation:
The formation energy comes out at -0.480 eV/atom.

Structure (CIF):
```
data_Mg6ZnRh5
_chemical_formula_sum 'Mg6 Zn1 Rh5'
_cell_length_a 7.6338
_cell_length_b 7.6338
_cell_length_c 7.6338
_cell_angle_alpha 146.58
_cell_angle_beta 130.43
_cell_angle_gamma 61.11
_space_group_name_H-M_alt 'P 1'
_space_group_IT_number 1
loop_
_space_group_symop_operation_xyz
'x,y,z'
loop_
_atom_site_label
_atom_site_fract_x
_atom_site_fract_y
_atom_site_fract_z
_atom_site_occupancy
Mg1 0.0691 0.3279 0.7412 1
Mg2 0.2323 0.0000 0.2323 1
Mg3 0.4134 0.6721 0.7412 1
Mg4 0.5866 0.3279 0.2588 1
Mg5 0.7677 0.0000 0.7677 1
Mg6 0.9309 0.6721 0.2588 1
Zn1 0.5000 0.5000 0.0000 1
Rh1 0.0000 0.5000 0.5000 1
Rh2 0.1676 0.1676 0.0000 1
Rh3 0.3453 0.8453 0.5000 1
Rh4 0.6547 0.1547 0.5000 1
Rh5 0.8324 0.8324 0.0000 1
```


Density functional theory data (GGA-PBE) for a relaxed Ca3Si3Au8 crystal.

Values from the calculation:
The calculation puts the formation energy without anion corrections at -506.5 meV per atom.

Structure (CIF):
```
data_Ca3Si3Au8
_chemical_formula_sum 'Ca3 Si3 Au8'
_cell_length_a 8.3851
_cell_length_b 8.3851
_cell_length_c 8.8526
_cell_angle_alpha 120.15
_cell_angle_beta 120.15
_cell_angle_gamma 31.74
_space_group_name_H-M_alt 'P 1'
_space_group_IT_number 1
loop_
_space_group_symop_operation_xyz
'x,y,z'
loop_
_atom_site_label
_atom_site_fract_x
_atom_site_fract_y
_atom_site_fract_z
_atom_site_occupancy
Ca1 0.0000 0.0000 0.0000 1
Ca2 0.2871 0.2871 0.2679 1
Ca3 0.7129 0.7129 0.7321 1
Si1 0.0000 0.0000 0.5000 1
Si2 0.3355 0.3355 0.6794 1
Si3 0.6645 0.6645 0.3206 1
Au1 0.1258 0.1258 0.8279 1
Au2 0.1486 0.1486 0.4352 1
Au3 0.3518 0.3518 0.9664 1
Au4 0.4876 0.4876 0.6575 1
Au5 0.5124 0.5124 0.3425 1
Au6 0.6482 0.6482 0.0336 1
Au7 0.8514 0.8514 0.5648 1
Au8 0.8742 0.8742 0.1721 1
```


Density functional theory data (GGA-PBE) for a relaxed CsNa3Mo crystal.

Values from the calculation:
The formation energy comes out at 1.564 eV/atom.

Structure (CIF):
```
data_CsNa3Mo
_chemical_formula_sum 'Cs1 Na3 Mo1'
_cell_length_a 6.4456
_cell_length_b 6.4456
_cell_length_c 6.4456
_cell_angle_alpha 90.00
_cell_angle_beta 90.00
_cell_angle_gamma 90.00
_space_group_name_H-M_alt 'P 1'
_space_group_IT_number 1
loop_
_space_group_symop_operation_xyz
'x,y,z'
loop_
_atom_site_label
_atom_site_fract_x
_atom_site_fract_y
_atom_site_fract_z
_atom_site_occupancy
Cs1 0.0000 0.0000 0.0000 1
Na1 0.0000 0.0000 0.5000 1
Na2 0.0000 0.5000 0.0000 1
Na3 0.5000 0.0000 0.0000 1
Mo1 0.5000 0.5000 0.5000 1
```